Record 1
{"formula": "Li2HfPaS4", "functional": "PBE", "state": "relaxed", "spacegroup": "P2/m", "volume_a3_per_atom": 18.66, "e_form_raw_ev_per_atom": -1.476, "m_tot_mub_per_cell": 1.03, "lattice_angstrom": [[3.666, 0.000, 0.000], [0.000, 6.385, 0.130], [0.000, -2.219, 6.331]], "species": ["Li", "Li", "Hf", "Pa", "S", "S", "S", "S"], "frac_coords": [[0.500, 0.000, 0.500], [0.000, 0.500, 0.500], [0.500, 0.500, 0.000], [0.000, 0.000, 0.000], [0.500, 0.268, 0.262], [0.500, 0.732, 0.738], [0.000, 0.264, 0.752], [0.000, 0.736, 0.248]]}

---

Record 2
{"formula": "BaSb2Os", "functional": "PBE", "state": "relaxed", "spacegroup": "Pmm2", "volume_a3_per_atom": 26.69, "e_form_raw_ev_per_atom": 0.201, "m_tot_mub_per_cell": 0.00, "lattice_angstrom": [[3.486, 0.000, 0.000], [0.000, 3.874, 0.000], [0.000, 0.000, 7.904]], "species": ["Ba", "Os", "Sb", "Sb"], "frac_coords": [[0.000, 0.000, 0.515], [0.500, 0.500, 0.841], [0.000, 0.000, 0.949], [0.500, 0.500, 0.196]]}

---

Record 3
{"formula": "TmZnRu", "functional": "PBE", "state": "relaxed", "spacegroup": "Pnma", "volume_a3_per_atom": 18.38, "e_tot_ev_per_cell": -64.31, "m_tot_mub_per_cell": 0.00, "lattice_angstrom": [[-0.696, 3.595, -1.596], [-0.867, -3.382, -7.238], [-6.727, -0.783, 1.171]], "species": ["Tm", "Tm", "Tm", "Tm", "Zn", "Zn", "Zn", "Zn", "Ru", "Ru", "Ru", "Ru"], "frac_coords": [[0.250, 0.822, 0.469], [0.750, 0.322, 0.031], [0.250, 0.678, 0.969], [0.750, 0.178, 0.531], [0.750, 0.937, 0.143], [0.750, 0.563, 0.643], [0.250, 0.063, 0.857], [0.250, 0.437, 0.357], [0.750, 0.629, 0.265], [0.750, 0.871, 0.765], [0.250, 0.129, 0.235], [0.250, 0.371, 0.735]]}

---

Record 4
{"formula": "Ba5Ag2H", "functional": "PBE", "state": "relaxed", "spacegroup": "Pnma", "volume_a3_per_atom": 39.70, "e_tot_ev_per_cell": -80.22, "m_tot_mub_per_cell": 0.00, "lattice_angstrom": [[-1.683, -5.489, -0.363], [8.072, -3.413, 14.174], [-10.927, 2.893, 6.920]], "species": ["Ba", "Ba", "Ba", "Ba", "Ba", "Ba", "Ba", "Ba", "Ba", "Ba", "Ba", "Ba", "Ba", "Ba", "Ba", "Ba", "Ba", "Ba", "Ba", "Ba", "Ag", "Ag", "Ag", "Ag", "Ag", "Ag", "Ag", "Ag", "H", "H", "H", "H"], "frac_coords": [[0.250, 0.820, 0.134], [0.750, 0.180, 0.866], [0.750, 0.680, 0.634], [0.250, 0.320, 0.366], [0.250, 0.525, 0.617], [0.750, 0.475, 0.383], [0.750, 0.975, 0.117], [0.250, 0.025, 0.883], [0.250, 0.802, 0.473], [0.750, 0.198, 0.527], [0.750, 0.698, 0.973], [0.250, 0.302, 0.027], [0.750, 0.709, 0.296], [0.250, 0.291, 0.704], [0.250, 0.791, 0.796], [0.750, 0.209, 0.204], [0.250, 0.038, 0.366], [0.750, 0.962, 0.634], [0.750, 0.462, 0.866], [0.250, 0.538, 0.134], [0.250, 0.596, 0.873], [0.750, 0.404, 0.127], [0.750, 0.904, 0.373], [0.250, 0.096, 0.627], [0.250, 0.105, 0.121], [0.750, 0.895, 0.879], [0.750, 0.395, 0.621], [0.250, 0.605, 0.379], [0.750, 0.807, 0.129], [0.250, 0.193, 0.871], [0.250, 0.693, 0.629], [0.750, 0.307, 0.371]]}

---

Record 5
{"formula": "Hf2VFe3", "functional": "PBE", "state": "relaxed", "spacegroup": "R-3m", "volume_a3_per_atom": 14.37, "e_tot_ev_per_cell": -56.28, "m_tot_mub_per_cell": 2.36, "lattice_angstrom": [[-2.671, -1.137, 4.139], [3.288, -3.344, -1.888], [3.503, 3.382, 0.102]], "species": ["Hf", "Hf", "V", "Fe", "Fe", "Fe"], "frac_coords": [[0.748, 0.374, 0.121], [0.252, 0.626, 0.879], [0.000, 0.000, 0.000], [0.500, 0.500, 0.500], [0.000, 0.000, 0.500], [0.500, 0.000, 0.500]]}

---

Record 6
{"formula": "LiTb2PuS4", "functional": "PBE", "state": "relaxed", "spacegroup": "P2/m", "volume_a3_per_atom": 21.26, "e_form_raw_ev_per_atom": -1.859, "m_tot_mub_per_cell": 5.72, "lattice_angstrom": [[3.926, 0.000, 0.000], [0.000, 6.781, 0.096], [0.000, -2.394, 6.355]], "species": ["Li", "Tb", "Tb", "Pu", "S", "S", "S", "S"], "frac_coords": [[0.000, 0.000, 0.000], [0.500, 0.000, 0.500], [0.000, 0.500, 0.500], [0.500, 0.500, 0.000], [0.500, 0.244, 0.248], [0.500, 0.756, 0.752], [0.000, 0.247, 0.751], [0.000, 0.753, 0.249]]}

---

Record 7
{"formula": "DyTiCoRh", "functional": "PBE", "state": "relaxed", "spacegroup": "F-43m", "volume_a3_per_atom": 16.70, "e_tot_ev_per_cell": -28.52, "m_tot_mub_per_cell": 0.23, "lattice_angstrom": [[-2.864, 0.142, 3.539], [-1.767, -3.857, 1.656], [1.331, -1.551, 4.070]], "species": ["Co", "Ti", "Rh", "Dy"], "frac_coords": [[0.750, 0.750, 0.750], [0.500, 0.500, 0.500], [0.250, 0.250, 0.250], [0.000, 0.000, 0.000]]}

---

Record 8
{"formula": "Ce3Ag2Pb2", "functional": "PBE", "state": "relaxed", "spacegroup": "Cmmm", "volume_a3_per_atom": 26.80, "e_tot_ev_per_cell": -33.04, "m_tot_mub_per_cell": 3.82, "lattice_angstrom": [[4.679, 0.000, 0.621], [0.000, 3.450, 0.000], [0.824, 0.000, 11.731]], "species": ["Ce", "Ce", "Ce", "Ag", "Ag", "Pb", "Pb"], "frac_coords": [[0.838, 0.000, 0.323], [0.000, 0.000, 0.000], [0.162, 0.000, 0.677], [0.717, 0.500, 0.566], [0.283, 0.500, 0.434], [0.581, 0.500, 0.837], [0.419, 0.500, 0.163]]}

---

Record 9
{"formula": "Ba2SbP", "functional": "PBE", "state": "relaxed", "polymorph_energy_mev_per_atom": 200, "spacegroup": "R-3m", "volume_a3_per_atom": 39.65, "e_form_raw_ev_per_atom": -0.684, "m_tot_mub_per_cell": 0.43, "lattice_angstrom": [[9.039, -2.262, 0.021], [9.039, 2.262, 0.021], [8.464, 0.000, 3.898]], "species": ["Ba", "Ba", "Sb", "P"], "frac_coords": [[0.763, 0.763, 0.763], [0.237, 0.237, 0.237], [0.000, 0.000, 0.000], [0.500, 0.500, 0.500]]}

---

Record 10
{"formula": "Mg4OsRh", "functional": "PBE", "state": "relaxed", "spacegroup": "F-43m", "volume_a3_per_atom": 16.82, "e_tot_ev_per_cell": -21.92, "m_tot_mub_per_cell": 0.13, "lattice_angstrom": [[0.000, 3.696, 3.696], [3.696, 0.000, 3.696], [3.696, 3.696, 0.000]], "species": ["Mg", "Mg", "Mg", "Mg", "Os", "Rh"], "frac_coords": [[0.874, 0.375, 0.375], [0.375, 0.375, 0.874], [0.375, 0.874, 0.375], [0.375, 0.375, 0.375], [0.750, 0.750, 0.750], [0.000, 0.000, 0.000]]}

---

Record 11
{"formula": "RbNbNi2Cl", "functional": "PBE", "state": "relaxed", "spacegroup": "P4/mmm", "volume_a3_per_atom": 21.95, "e_form_raw_ev_per_atom": 1.288, "m_tot_mub_per_cell": 4.37, "lattice_angstrom": [[-4.024, -1.508, 1.129], [2.217, -4.923, 1.324], [0.641, 1.409, 4.165]], "species": ["Ni", "Ni", "Nb", "Rb", "Cl"], "frac_coords": [[0.000, 0.000, 0.500], [0.500, 0.000, 0.000], [0.500, 0.500, 0.500], [0.000, 0.500, 0.000], [0.000, 0.000, 0.000]]}

---

Record 12
{"formula": "MnCoTc2", "functional": "PBE", "state": "relaxed", "polymorph_energy_mev_per_atom": 150, "spacegroup": "R-3m", "volume_a3_per_atom": 12.76, "m_tot_mub_per_cell": 0.00, "lattice_angstrom": [[8.617, 0.008, 0.004], [8.211, 2.612, 0.004], [8.211, 1.278, 2.278]], "species": ["Co", "Mn", "Tc", "Tc"], "frac_coords": [[0.250, 0.250, 0.250], [0.750, 0.750, 0.750], [0.000, 0.000, 0.000], [0.500, 0.500, 0.500]]}

---

Record 13
{"formula": "KTb4Se5", "functional": "PBE", "state": "relaxed", "spacegroup": "C2/m", "volume_a3_per_atom": 25.80, "e_form_raw_ev_per_atom": -1.737, "m_tot_mub_per_cell": 0.00, "lattice_angstrom": [[-1.864, 0.497, 3.640], [-0.748, -6.676, 2.860], [7.085, -0.753, 6.062]], "species": ["K", "Tb", "Tb", "Tb", "Tb", "Se", "Se", "Se", "Se", "Se"], "frac_coords": [[0.000, 0.000, 0.000], [0.592, 0.217, 0.598], [0.199, 0.389, 0.214], [0.801, 0.611, 0.786], [0.408, 0.783, 0.402], [0.202, 0.909, 0.686], [0.798, 0.091, 0.314], [0.386, 0.334, 0.894], [0.000, 0.500, 0.500], [0.614, 0.666, 0.106]]}

---

Record 14
{"formula": "UIrRu", "functional": "PBE", "state": "relaxed", "polymorph_energy_mev_per_atom": 648, "spacegroup": "P4_2/mmc", "volume_a3_per_atom": 19.39, "m_tot_mub_per_cell": 0.00, "lattice_angstrom": [[-1.613, 3.021, 4.125], [0.691, -5.153, 4.045], [6.244, 1.748, 1.161]], "species": ["U", "U", "U", "U", "Ru", "Ru", "Ru", "Ru", "Ir", "Ir", "Ir", "Ir"], "frac_coords": [[0.000, 0.500, 0.750], [0.500, 0.250, 0.500], [0.500, 0.750, 0.500], [0.000, 0.500, 0.250], [0.000, 0.798, 0.500], [0.500, 0.500, 0.798], [0.500, 0.500, 0.202], [0.000, 0.202, 0.500], [0.000, 0.201, 0.000], [0.500, 0.000, 0.201], [0.500, 0.000, 0.799], [0.000, 0.799, 0.000]]}

---

Record 15
{"formula": "YMoIrI2", "functional": "PBE", "state": "relaxed", "spacegroup": "P4/mmm", "volume_a3_per_atom": 28.01, "e_form_raw_ev_per_atom": 0.744, "m_tot_mub_per_cell": 1.39, "lattice_angstrom": [[-0.680, -2.715, 4.578], [-1.992, -4.150, -2.757], [4.475, -1.858, -0.438]], "species": ["I", "I", "Y", "Mo", "Ir"], "frac_coords": [[0.000, 0.500, 0.000], [0.500, 0.000, 0.000], [0.500, 0.500, 0.500], [0.000, 0.000, 0.500], [0.000, 0.000, 0.000]]}

---

Record 16
{"formula": "Ni2GeBi", "functional": "PBE", "state": "relaxed", "polymorph_energy_mev_per_atom": 37, "spacegroup": "Fm-3m", "volume_a3_per_atom": 16.50, "m_tot_mub_per_cell": 0.00, "lattice_angstrom": [[0.000, 3.207, 3.207], [3.207, 0.000, 3.207], [3.207, 3.207, 0.000]], "species": ["Ni", "Ni", "Ge", "Bi"], "frac_coords": [[0.250, 0.250, 0.250], [0.750, 0.750, 0.750], [0.000, 0.000, 0.000], [0.500, 0.500, 0.500]]}

---

Record 17
{"formula": "Cs3PmHo2S6", "functional": "PBE", "state": "relaxed", "spacegroup": "C2/m", "volume_a3_per_atom": 29.84, "e_form_raw_ev_per_atom": -1.825, "m_tot_mub_per_cell": 0.00, "lattice_angstrom": [[-0.147, 2.055, -6.854], [-5.233, -4.124, 2.612], [-2.374, 7.287, 3.481]], "species": ["Cs", "Cs", "Cs", "Pm", "Ho", "Ho", "S", "S", "S", "S", "S", "S"], "frac_coords": [[0.166, 0.834, 0.500], [0.834, 0.166, 0.500], [0.500, 0.500, 0.500], [0.000, 0.000, 0.000], [0.333, 0.667, 0.000], [0.667, 0.333, 0.000], [0.939, 0.598, 0.818], [0.720, 0.720, 0.182], [0.061, 0.402, 0.182], [0.598, 0.939, 0.818], [0.280, 0.280, 0.818], [0.402, 0.061, 0.182]]}

---

Record 18
{"formula": "UTiAs2", "functional": "PBE", "state": "relaxed", "polymorph_energy_mev_per_atom": 0, "spacegroup": "R-3m", "volume_a3_per_atom": 20.49, "m_tot_mub_per_cell": 2.23, "lattice_angstrom": [[-2.167, 2.520, 1.967], [-0.613, -0.517, 3.778], [4.247, 4.095, 3.224]], "species": ["As", "As", "U", "Ti"], "frac_coords": [[0.260, 0.260, 0.221], [0.740, 0.740, 0.779], [0.500, 0.500, 0.500], [0.000, 0.000, 0.000]]}

---

Record 19
{"formula": "AlAg2Mo", "functional": "PBE", "state": "relaxed", "spacegroup": "I4/mmm", "volume_a3_per_atom": 16.77, "e_tot_ev_per_cell": -18.89, "m_tot_mub_per_cell": 0.86, "lattice_angstrom": [[-2.843, -2.089, 3.819], [-1.719, -4.836, -0.831], [4.574, 2.450, -0.341]], "species": ["Mo", "Al", "Ag", "Ag"], "frac_coords": [[0.750, 0.250, 0.500], [0.250, 0.750, 0.500], [0.000, 0.000, 0.000], [0.500, 0.500, 0.000]]}

---

Record 20
{"formula": "ScCdGe", "functional": "PBE", "state": "relaxed", "spacegroup": "Cm", "volume_a3_per_atom": 20.32, "e_tot_ev_per_cell": -51.76, "m_tot_mub_per_cell": 0.00, "lattice_angstrom": [[6.020, 0.000, 0.004], [0.000, 4.285, 0.000], [-4.165, 0.000, 9.450]], "species": ["Sc", "Sc", "Sc", "Sc", "Cd", "Cd", "Cd", "Cd", "Ge", "Ge", "Ge", "Ge"], "frac_coords": [[0.959, 0.000, 0.345], [0.959, 0.500, 0.845], [0.383, 0.000, 0.057], [0.383, 0.500, 0.557], [0.148, 0.000, 0.697], [0.148, 0.500, 0.197], [0.488, 0.000, 0.384], [0.488, 0.500, 0.884], [0.875, 0.000, 0.021], [0.875, 0.500, 0.521], [0.650, 0.000, 0.718], [0.650, 0.500, 0.218]]}